1.
Ca2PrNd after structural relaxation. Source: the Alexandria database, functional PBE.

The structure in POSCAR format:
```
Ca2PrNd
1.0
4.848 0.000 0.000
0.000 4.848 0.000
-2.424 -2.424 13.127
Pr Ca Nd
2 4 2
direct
0.250 0.750 0.500 Pr
0.500 0.500 0.000 Pr
0.125 0.125 0.750 Ca
0.875 0.375 0.250 Ca
0.375 0.875 0.250 Ca
0.625 0.625 0.750 Ca
0.750 0.250 0.500 Nd
0.000 0.000 0.000 Nd
```

Output
As for the symmetry: I-42d. Its formation energy is 35.5 kJ per mole of atoms. The volume comes out at 308.6 Å³/cell. The energy above the most stable polymorph in this dataset is 0.334 eV per atom. As for the total magnetic moment: 0.189 μB/atom.

2.
TmPdS2 after structural relaxation. Source: the Alexandria database, functional PBE.

The structure in POSCAR format:
```
TmPdS2
1.0
3.671 0.000 0.000
1.835 3.179 0.000
1.835 1.060 7.749
Tm Pd S
1 1 2
direct
0.000 0.000 0.000 Tm
0.500 0.500 0.500 Pd
0.113 0.113 0.662 S
0.887 0.887 0.338 S
```

Output
Its uncorrected formation energy is -0.392 eV per atom. As for the symmetry: R-3m. The volume comes out at 90.4 Å³/cell. The energy above the most stable polymorph in this dataset is 0.662 eV per atom. As for the total magnetic moment: 0.000 μB/atom.

3.
PaNi4SbP2 after structural relaxation. Source: the Alexandria database, functional PBE.

The structure in POSCAR format:
```
PaNi4SbP2
1.0
-3.272 -2.092 -0.331
1.456 -1.781 -3.147
3.160 -5.683 4.678
Ni P Sb Pa
4 2 1 1
direct
0.500 0.000 0.780 Ni
0.000 0.500 0.780 Ni
0.500 0.000 0.220 Ni
0.000 0.500 0.220 Ni
0.500 0.500 0.355 P
0.500 0.500 0.645 P
0.000 0.000 0.000 Sb
0.000 0.000 0.500 Pa
```

Output
Its uncorrected formation energy is -0.613 eV per atom. As for the symmetry: P4/mmm. The volume comes out at 121.7 Å³/cell. As for the total magnetic moment: 0.000 μB/atom.

4.
Nb2GaPt2 after structural relaxation. Source: the Alexandria database, functional PBE.

The structure in POSCAR format:
```
Nb2GaPt2
1.0
7.859 0.000 0.000
0.000 7.859 0.000
0.000 0.000 2.874
Pt Nb Ga
4 4 2
direct
0.124 0.376 0.000 Pt
0.624 0.124 0.000 Pt
0.376 0.876 0.000 Pt
0.876 0.624 0.000 Pt
0.672 0.828 0.500 Nb
0.328 0.172 0.500 Nb
0.172 0.672 0.500 Nb
0.828 0.328 0.500 Nb
0.000 0.000 0.000 Ga
0.500 0.500 0.000 Ga
```

Output
As for the symmetry: P4/mbm. Its formation energy is -36.8 kJ per mole of atoms. The volume comes out at 177.5 Å³/cell. As for the total magnetic moment: 0.000 μB/atom.

5.
Zr2RhW after structural relaxation. Source: the Alexandria database, functional PBE.

The structure in POSCAR format:
```
Zr2RhW
1.0
4.659 0.000 0.000
2.329 4.035 0.000
2.329 1.345 3.804
Zr Rh W
2 1 1
direct
0.250 0.250 0.250 Zr
0.000 0.000 0.000 Zr
0.500 0.500 0.500 Rh
0.750 0.750 0.750 W
```

Output
As for the symmetry: F-43m. Its formation energy is -5.7 kJ per mole of atoms. The volume comes out at 71.5 Å³/cell. The energy above the most stable polymorph in this dataset is 0.305 eV per atom. As for the total magnetic moment: 0.000 μB/atom.

Look up the total magnetic moment of the second one. 0.000 μB/atom